1.
## AcMnRe2O8 (PBE with a Hubbard U)

Data for an optimized crystal structure of AcMnRe2O8.

total magnetic moment = 0.169 μB/atom
total energy = -7.82 eV/atom
volume = 200 Å³ per cell

Unit cell a=6.1491 b=6.1491 c=6.1171 alpha=90.00 beta=90.00 gamma=120.00
Space group P-3 (No. 147)
Asymmetric unit:
Ac  0.0000  0.0000  0.0000 [1 per cell]
Mn  0.0000  0.0000  0.5000 [1 per cell]
Re  0.3333  0.6667  0.3802 [2 per cell]
O  0.1661  0.3378  0.2884 [6 per cell]
O  0.3333  0.6667  0.6675 [2 per cell]

=====

2.
## AcMnRuO6 (PBE with a Hubbard U)

Data for an optimized crystal structure of AcMnRuO6.

total magnetic moment = 0.443 μB/atom
total energy = -7.20 eV/atom
volume = 236 Å³ per cell

Unit cell a=5.7997 b=5.7997 c=8.0890 alpha=90.00 beta=90.00 gamma=120.00
Space group P-31c (No. 163)
Asymmetric unit:
Ac  0.3333  0.6667  0.2500 [2 per cell]
Mn  0.0000  0.0000  0.0000 [2 per cell]
Ru  0.3333  0.6667  0.7500 [2 per cell]
O  0.0762  0.3791  0.6161 [12 per cell]

=====

3.
## AcMn2RuO8 (PBE with a Hubbard U)

Data for an optimized crystal structure of AcMn2RuO8.

total magnetic moment = 0.274 μB/atom
total energy = -7.13 eV/atom
volume = 174 Å³ per cell

Unit cell a=4.972 b=4.992 c=7.320 alpha=88.74 beta=88.38 gamma=73.28
Space group P-1 (No. 2)
Asymmetric unit:
Ac  0.000  0.000  0.000 [1 per cell]
Mn  0.387  0.386  0.287 [2 per cell]
Ru  0.000  0.000  0.500 [1 per cell]
O  0.206  0.762  0.298 [2 per cell]
O  0.235  0.788  0.700 [2 per cell]
O  0.243  0.238  0.471 [2 per cell]
O  0.313  0.307  0.068 [2 per cell]

=====

4.
## Ac2MnRuO6 (PBE with a Hubbard U)

Data for an optimized crystal structure of Ac2MnRuO6.

total magnetic moment = 0.695 μB/atom
total energy = -7.76 eV/atom
volume = 270 Å³ per cell

Unit cell a=5.754 b=5.754 c=8.158 alpha=90.00 beta=90.00 gamma=90.00
Space group I4/mmm (No. 139)
Asymmetric unit:
Ac  0.000  0.500  0.250 [4 per cell]
Mn  0.000  0.000  0.000 [2 per cell]
Ru  0.000  0.000  0.500 [2 per cell]
O  0.000  0.000  0.255 [4 per cell]
O  0.245  0.245  0.500 [8 per cell]

=====

5.
## Ac2MnRuO8 (PBE with a Hubbard U)

Data for an optimized crystal structure of Ac2MnRuO8.

total magnetic moment = 0.250 μB/atom
total energy = -7.36 eV/atom
volume = 170 Å³ per cell

Unit cell a=4.424 b=5.398 c=7.154 alpha=86.16 beta=89.30 gamma=84.75
Space group P-1 (No. 2)
Asymmetric unit:
Ac  0.199  0.010  0.251 [2 per cell]
Mn  0.500  0.500  0.000 [1 per cell]
Ru  0.500  0.500  0.500 [1 per cell]
O  0.192  0.720  0.569 [2 per cell]
O  0.292  0.821  0.941 [2 per cell]
O  0.303  0.217  0.605 [2 per cell]
O  0.305  0.492  0.244 [2 per cell]

=====

6.
## AcMnSO2 (PBE with a Hubbard U)

Data for an optimized crystal structure of AcMnSO2.

total magnetic moment = 0.799 μB/atom
total energy = -7.26 eV/atom
volume = 378 Å³ per cell

Unit cell a=5.739 b=11.978 c=5.498 alpha=90.00 beta=90.00 gamma=90.00
Space group Cmcm (No. 63)
Asymmetric unit:
Ac  0.000  0.139  0.250 [4 per cell]
Mn  0.000  0.499  0.750 [4 per cell]
S  0.000  0.267  0.750 [4 per cell]
O  0.235  0.500  0.000 [8 per cell]

=====

7.
## Ac2MnS2O2 (PBE with a Hubbard U)

Data for an optimized crystal structure of Ac2MnS2O2.

total magnetic moment = 0.714 μB/atom
total energy = -7.24 eV/atom
volume = 293 Å³ per cell

Unit cell a=11.803 b=4.041 c=7.162 alpha=90.00 beta=120.98 gamma=90.00
Space group C2/m (No. 12)
Asymmetric unit:
Ac  0.190  0.000  0.229 [4 per cell]
Mn  0.000  0.000  0.500 [2 per cell]
S  0.058  0.500  0.813 [4 per cell]
O  0.195  0.000  0.581 [4 per cell]

=====

8.
## AcMnS2O8 (PBE with a Hubbard U)

Data for an optimized crystal structure of AcMnS2O8.

total magnetic moment = 0.500 μB/atom
total energy = -6.70 eV/atom
volume = 537 Å³ per cell

Unit cell a=5.2819 b=5.2819 c=22.2227 alpha=90.00 beta=90.00 gamma=120.00
Space group R-3 (No. 148, hexagonal axes)
Asymmetric unit:
Ac  0.0000  0.0000  0.0000 [3 per cell]
Mn  0.0000  0.0000  0.5000 [3 per cell]
S  0.0000  0.0000  0.2626 [6 per cell]
O  0.0000  0.0000  0.3308 [6 per cell]
O  0.0300  0.5658  0.4251 [18 per cell]

=====

The lowest total magnetic moment belongs to which entry? AcMnRe2O8

=====

The highest volume belongs to which entry? AcMnS2O8

=====

What did the fifth record say?
## Ac2MnRuO8 (PBE with a Hubbard U)

Data for an optimized crystal structure of Ac2MnRuO8.

total magnetic moment = 0.250 μB/atom
total energy = -7.36 eV/atom
volume = 170 Å³ per cell

Unit cell a=4.424 b=5.398 c=7.154 alpha=86.16 beta=89.30 gamma=84.75
Space group P-1 (No. 2)
Asymmetric unit:
Ac  0.199  0.010  0.251 [2 per cell]
Mn  0.500  0.500  0.000 [1 per cell]
Ru  0.500  0.500  0.500 [1 per cell]
O  0.192  0.720  0.569 [2 per cell]
O  0.292  0.821  0.941 [2 per cell]
O  0.303  0.217  0.605 [2 per cell]
O  0.305  0.492  0.244 [2 per cell]